No. 1
A plane-wave DFT calculation with GGA-PBE was carried out for crystalline Ac6Pd3Rh at its relaxed geometry.

a b c (Å): 7.3253 8.1099 13.4458
angles (deg): 90.00 122.46 90.00
Space group P2_1/c (No. 14)
Inequivalent atoms, fractional coordinates:
Ac: 0.0884 0.0534 0.2456 x4
Ac: 0.2474 0.6851 0.0799 x4
Ac: 0.3998 0.1774 0.0767 x4
Pd: 0.3094 0.1120 0.7532 x4
Pd: 0.5000 0.0000 0.5000 x2
Rh: 0.0000 0.0000 0.0000 x2

Values from the calculation:
The magnetization is 0.00 μB/atom. The calculation puts the density of states at the Fermi level at 5.94 states/eV/f.u. The value obtained for the energy relative to the elements is -0.6308 eV/atom.



No. 2
A plane-wave DFT calculation with GGA-PBE was carried out for crystalline Ac7Pd2Rh2 at its relaxed geometry.

a b c (Å): 4.1762 16.7372 10.1994
angles (deg): 90.00 90.00 90.00
Space group Imm2 (No. 44)
Inequivalent atoms, fractional coordinates:
Ac: 0.0000 0.0000 0.0000 x2
Ac: 0.0000 0.1077 0.6300 x4
Ac: 0.0000 0.3088 0.4187 x4
Ac: 0.0000 0.3821 0.7862 x4
Pd: 0.0000 0.2417 0.1262 x4
Rh: 0.0000 0.0000 0.3732 x2
Rh: 0.0000 0.5000 0.2927 x2

Values from the calculation:
The magnetization is 0.00 μB/atom. The calculation puts the density of states at the Fermi level at 10.44 states/eV/f.u. The value obtained for the energy relative to the elements is -0.5471 eV/atom.



No. 3
A plane-wave DFT calculation with GGA-PBE was carried out for crystalline Ac2PdRh2 at its relaxed geometry.

a b c (Å): 11.3148 4.3976 11.3224
angles (deg): 90.00 117.44 90.00
Space group C2/m (No. 12)
Inequivalent atoms, fractional coordinates:
Ac: 0.0945 0.0000 0.3973 x4
Ac: 0.1970 0.5000 0.1435 x4
Pd: 0.0815 0.5000 0.8108 x4
Rh: 0.0391 0.0000 0.9112 x4
Rh: 0.1346 0.5000 0.5999 x4

Values from the calculation:
As for the energy relative to the lowest polymorph listed for this composition: 0.283 eV/f.u. The magnetization is 0.00 μB/atom. The calculation puts the density of states at the Fermi level at 3.48 states/eV/f.u. The value obtained for the energy relative to the elements is -0.6049 eV/atom.



No. 4
A plane-wave DFT calculation with GGA-PBE was carried out for crystalline AcPdRh at its relaxed geometry.

a b c (Å): 5.5634 5.6359 7.9444
angles (deg): 90.00 90.00 90.00
Space group Imma (No. 74)
Inequivalent atoms, fractional coordinates:
Ac: 0.0000 0.2500 0.1261 x4
Pd: 0.2500 0.2500 0.7500 x4
Rh: 0.0000 0.0000 0.5000 x4

Values from the calculation:
As for the energy relative to the lowest polymorph listed for this composition: 0.000 eV/f.u. The magnetization is 0.00 μB/atom. The calculation puts the density of states at the Fermi level at 2.08 states/eV/f.u. The value obtained for the energy relative to the elements is -0.6428 eV/atom.



Q: Which value of energy relative to the elements does entry 2 give?
A: -0.5471 eV/atom



Q: Among the records above, which one has the highest density of states at the Fermi level?
A: Ac7Pd2Rh2



Copy entry 2 word for word.
A plane-wave DFT calculation with GGA-PBE was carried out for crystalline Ac7Pd2Rh2 at its relaxed geometry.

a b c (Å): 4.1762 16.7372 10.1994
angles (deg): 90.00 90.00 90.00
Space group Imm2 (No. 44)
Inequivalent atoms, fractional coordinates:
Ac: 0.0000 0.0000 0.0000 x2
Ac: 0.0000 0.1077 0.6300 x4
Ac: 0.0000 0.3088 0.4187 x4
Ac: 0.0000 0.3821 0.7862 x4
Pd: 0.0000 0.2417 0.1262 x4
Rh: 0.0000 0.0000 0.3732 x2
Rh: 0.0000 0.5000 0.2927 x2

Values from the calculation:
The magnetization is 0.00 μB/atom. The calculation puts the density of states at the Fermi level at 10.44 states/eV/f.u. The value obtained for the energy relative to the elements is -0.5471 eV/atom.